# ReAsSeN2 | the Alexandria database | GGA-PBE | relaxed
data_ReAsSeN2
_chemical_formula_sum 'Re1 As1 Se1 N2'
_space_group_name_H-M_alt 'P 4/m m m'
_space_group_IT_number 123
_space_group_name_Hall '-P 4 2'
_cell_length_a 3.666
_cell_length_b 3.666
_cell_length_c 6.661
_cell_angle_alpha 90.00
_cell_angle_beta 90.00
_cell_angle_gamma 90.00
loop_
_atom_site_label
_atom_site_type_symbol
_atom_site_fract_x
_atom_site_fract_y
_atom_site_fract_z
Re1 Re 0.000 0.000 0.000
As1 As 0.500 0.500 0.500
Se1 Se 0.500 0.500 0.000
N1 N 0.000 0.500 0.500
# V	17.9	Å³ per atom
# DOS(E_F)	2.6	states/eV per cell
# formation energy (no corrections)	1.837	eV/atom
# excess energy over the best structure of this formula in the dataset	1184.2	meV per atom